First-principles (GGA-PBE) data for a relaxed structure of KSr4Fe, as listed in Alexandria.

Values from the calculation:
* E_tot: -1.91 eV/atom
* E_form: 0.805 eV per atom

Unit cell a=7.7123 b=7.7123 c=7.7123 alpha=60.00 beta=60.00 gamma=60.00
Closest atoms and distances in Å follow each position.
Fractional coordinates of all 6 atoms:
Sr (0.8727, 0.3758, 0.3758)  6 Sr 3.83-3.88
Sr (0.3758, 0.3758, 0.8727)  6 Sr 3.83-3.88
Sr (0.3758, 0.8727, 0.3758)  6 Sr 3.83-3.88
Sr (0.3758, 0.3758, 0.3758)  6 Sr 3.83-3.88
K (0.0000, 0.0000, 0.0000)  12 Sr 4.52, 4 Fe 4.72
Fe (0.7500, 0.7500, 0.7500)  12 Sr 4.52, 4 K 4.72

---

First-principles (GGA-PBE) data for a relaxed structure of KTaFe, as listed in Alexandria.

Values from the calculation:
* E_tot: -5.62 eV/atom
* E_form: 1.513 eV per atom

Unit cell a=5.1685 b=5.1685 c=2.6556 alpha=90.00 beta=90.00 gamma=120.00
Closest atoms and distances in Å follow each position.
Fractional coordinates of all 3 atoms:
Ta (0.3333, 0.6667, 0.6305)  2 Ta 2.66
Fe (0.0000, 0.0000, 0.0634)  2 Fe 2.66
K (0.6667, 0.3333, 0.3061)  2 K 2.66

---

First-principles (GGA-PBE) data for a relaxed structure of K2TaFe, as listed in Alexandria.

Values from the calculation:
* E_tot: -4.19 eV/atom
* E_form: 1.441 eV per atom

Unit cell a=6.7302 b=6.7302 c=6.7302 alpha=146.26 beta=146.26 gamma=48.46
Closest atoms and distances in Å follow each position.
Fractional coordinates of all 4 atoms:
Fe (0.7500, 0.2500, 0.5000)  4 Ta 2.76
Ta (0.2500, 0.7500, 0.5000)  4 Fe 2.76
K (0.5000, 0.5000, 0.0000)  4 K 2.76
K (0.0000, 0.0000, 0.0000)  4 K 2.76

---

First-principles (GGA-PBE) data for a relaxed structure of KTa2Fe, as listed in Alexandria.

Values from the calculation:
* E_tot: -7.68 eV/atom
* E_form: 0.632 eV per atom

Unit cell a=3.0849 b=3.0849 c=9.1906 alpha=90.00 beta=90.00 gamma=90.00
Closest atoms and distances in Å follow each position.
Fractional coordinates of all 4 atoms:
Ta (0.5000, 0.5000, 0.2891)  4 Fe 2.49
Ta (0.0000, 0.0000, 0.0774)  8 Ta 2.92-3.08, 1 Fe 3.15
Fe (0.0000, 0.0000, 0.4203)  4 Ta 2.49
K (0.5000, 0.5000, 0.7132)  4 K 3.08

---

Short version: magnetic moment = 3.471; 2.420; 0.286; 0.898 Bohr magnetons per cell, in the order given.